# 1
KPr5Se6 after structural relaxation. Source: the Alexandria database, functional PBE-GGA.

Values from the calculation:
formation energy (no corrections)	-1.79	eV/atom

```
data_KPr5Se6
_chemical_formula_sum 'K2 Pr10 Se12'
_cell_length_a 7.450
_cell_length_b 12.886
_cell_length_c 7.482
_cell_angle_alpha 90.00
_cell_angle_beta 109.40
_cell_angle_gamma 90.00
_space_group_name_H-M_alt 'C 1 2/m 1'
_space_group_IT_number 12
loop_
_space_group_symop_operation_xyz
'x,y,z'
'-x,-y,-z'
'-x,y,-z'
'x,-y,z'
'x+1/2,y+1/2,z'
'-x+1/2,-y+1/2,-z'
'-x+1/2,y+1/2,-z'
'x+1/2,-y+1/2,z'
loop_
_atom_site_label
_atom_site_type_symbol
_atom_site_fract_x
_atom_site_fract_y
_atom_site_fract_z
K1 K 0.000 0.000 0.000
Pr1 Pr 0.000 0.161 0.500
Pr2 Pr 0.000 0.334 0.000
Pr3 Pr 0.000 0.500 0.500
Se1 Se 0.244 0.329 0.743
Se2 Se 0.244 0.500 0.249
```

***

# 2
KPr4Se6 after structural relaxation. Source: the Alexandria database, functional PBE-GGA.

Values from the calculation:
formation energy (no corrections)	-1.78	eV/atom

```
data_KPr4Se6
_chemical_formula_sum 'K4 Pr16 Se24'
_cell_length_a 4.287
_cell_length_b 14.307
_cell_length_c 22.450
_cell_angle_alpha 90.00
_cell_angle_beta 90.00
_cell_angle_gamma 90.00
_space_group_name_H-M_alt 'C m c m'
_space_group_IT_number 63
_space_group_name_Hall '-C 2c 2'
loop_
_atom_site_label
_atom_site_type_symbol
_atom_site_fract_x
_atom_site_fract_y
_atom_site_fract_z
K1 K 0.000 0.152 0.250
Pr1 Pr 0.000 0.100 0.635
Pr2 Pr 0.000 0.368 0.543
Se1 Se 0.000 0.000 0.000
Se2 Se 0.000 0.176 0.750
Se3 Se 0.000 0.272 0.080
Se4 Se 0.000 0.464 0.657
```

***

# 3
KPr6Se8 after structural relaxation. Source: the Alexandria database, functional PBE-GGA.

Values from the calculation:
formation energy (no corrections)	-1.71	eV/atom

```
data_KPr6Se8
_chemical_formula_sum 'K1 Pr6 Se8'
_cell_length_a 11.5240
_cell_length_b 11.5240
_cell_length_c 4.3524
_cell_angle_alpha 90.00
_cell_angle_beta 90.00
_cell_angle_gamma 120.00
_space_group_name_H-M_alt 'P -3'
_space_group_IT_number 147
loop_
_space_group_symop_operation_xyz
'x,y,z'
'-x,-y,-z'
'-y,x-y,z'
'y,-x+y,-z'
'-x+y,-x,z'
'x-y,x,-z'
loop_
_atom_site_label
_atom_site_type_symbol
_atom_site_fract_x
_atom_site_fract_y
_atom_site_fract_z
K1 K 0.0000 0.0000 0.0000
Pr1 Pr 0.1381 0.6589 0.7490
Se1 Se 0.0458 0.3584 0.7518
Se2 Se 0.3333 0.6667 0.2491
```

***

# 4
K2PrSiSe4 after structural relaxation. Source: the Alexandria database, functional PBE-GGA.

Values from the calculation:
formation energy (no corrections)	-1.03	eV/atom

```
data_K2PrSiSe4
_chemical_formula_sum 'K8 Pr4 Si4 Se16'
_cell_length_a 8.406
_cell_length_b 8.862
_cell_length_c 12.232
_cell_angle_alpha 90.00
_cell_angle_beta 90.00
_cell_angle_gamma 90.00
_space_group_name_H-M_alt 'I m m a'
_space_group_IT_number 74
_space_group_name_Hall '-I 2b 2'
loop_
_atom_site_label
_atom_site_type_symbol
_atom_site_fract_x
_atom_site_fract_y
_atom_site_fract_z
K1 K 0.000 0.000 0.000
K2 K 0.250 0.250 0.250
Pr1 Pr 0.000 0.000 0.500
Si1 Si 0.250 0.250 0.750
Se1 Se 0.000 0.052 0.743
Se2 Se 0.235 0.250 0.529
```

***

# 5
KPrSm2Se4 after structural relaxation. Source: the Alexandria database, functional PBE-GGA.

Values from the calculation:
formation energy (no corrections)	-1.76	eV/atom

```
data_KPrSm2Se4
_chemical_formula_sum 'K1 Pr1 Sm2 Se4'
_cell_length_a 7.438
_cell_length_b 4.219
_cell_length_c 7.477
_cell_angle_alpha 90.00
_cell_angle_beta 108.58
_cell_angle_gamma 90.00
_space_group_name_H-M_alt 'P 1 2/m 1'
_space_group_IT_number 10
loop_
_space_group_symop_operation_xyz
'x,y,z'
'-x,-y,-z'
'-x,y,-z'
'x,-y,z'
loop_
_atom_site_label
_atom_site_type_symbol
_atom_site_fract_x
_atom_site_fract_y
_atom_site_fract_z
K1 K 0.000 0.000 0.000
Pr1 Pr 0.500 0.500 0.000
Sm1 Sm 0.000 0.500 0.500
Sm2 Sm 0.500 0.000 0.500
Se1 Se 0.251 0.000 0.739
Se2 Se 0.263 0.500 0.269
```

***

# 6
KPr2SmSe4 after structural relaxation. Source: the Alexandria database, functional PBE-GGA.

Values from the calculation:
formation energy (no corrections)	-1.75	eV/atom

```
data_KPr2SmSe4
_chemical_formula_sum 'K1 Pr2 Sm1 Se4'
_cell_length_a 7.474
_cell_length_b 4.257
_cell_length_c 7.500
_cell_angle_alpha 90.00
_cell_angle_beta 108.73
_cell_angle_gamma 90.00
_space_group_name_H-M_alt 'P 1 2/m 1'
_space_group_IT_number 10
loop_
_space_group_symop_operation_xyz
'x,y,z'
'-x,-y,-z'
'-x,y,-z'
'x,-y,z'
loop_
_atom_site_label
_atom_site_type_symbol
_atom_site_fract_x
_atom_site_fract_y
_atom_site_fract_z
K1 K 0.000 0.000 0.000
Pr1 Pr 0.500 0.000 0.500
Pr2 Pr 0.500 0.500 0.000
Sm1 Sm 0.000 0.500 0.500
Se1 Se 0.248 0.000 0.741
Se2 Se 0.259 0.500 0.264
```

***

# 7
K3PrSm2Se6 after structural relaxation. Source: the Alexandria database, functional PBE-GGA.

Values from the calculation:
formation energy (no corrections)	-1.76	eV/atom

```
data_K3PrSm2Se6
_chemical_formula_sum 'K6 Pr2 Sm4 Se12'
_cell_length_a 7.493
_cell_length_b 12.978
_cell_length_c 8.100
_cell_angle_alpha 90.00
_cell_angle_beta 107.96
_cell_angle_gamma 90.00
_space_group_name_H-M_alt 'C 1 2/m 1'
_space_group_IT_number 12
loop_
_space_group_symop_operation_xyz
'x,y,z'
'-x,-y,-z'
'-x,y,-z'
'x,-y,z'
'x+1/2,y+1/2,z'
'-x+1/2,-y+1/2,-z'
'-x+1/2,y+1/2,-z'
'x+1/2,-y+1/2,z'
loop_
_atom_site_label
_atom_site_type_symbol
_atom_site_fract_x
_atom_site_fract_y
_atom_site_fract_z
K1 K 0.000 0.000 0.000
K2 K 0.000 0.334 0.000
Pr1 Pr 0.000 0.500 0.500
Sm1 Sm 0.000 0.167 0.500
Se1 Se 0.232 0.000 0.710
Se2 Se 0.239 0.331 0.710
```

***

# 8
KPr3Sm2Se6 after structural relaxation. Source: the Alexandria database, functional PBE-GGA.

Values from the calculation:
formation energy (no corrections)	-1.78	eV/atom

```
data_KPr3Sm2Se6
_chemical_formula_sum 'K2 Pr6 Sm4 Se12'
_cell_length_a 18.629
_cell_length_b 4.241
_cell_length_c 8.634
_cell_angle_alpha 90.00
_cell_angle_beta 103.28
_cell_angle_gamma 90.00
_space_group_name_H-M_alt 'C 1 2/m 1'
_space_group_IT_number 12
loop_
_space_group_symop_operation_xyz
'x,y,z'
'-x,-y,-z'
'-x,y,-z'
'x,-y,z'
'x+1/2,y+1/2,z'
'-x+1/2,-y+1/2,-z'
'-x+1/2,y+1/2,-z'
'x+1/2,-y+1/2,z'
loop_
_atom_site_label
_atom_site_type_symbol
_atom_site_fract_x
_atom_site_fract_y
_atom_site_fract_z
K1 K 0.000 0.000 0.000
Pr1 Pr 0.000 0.000 0.500
Pr2 Pr 0.161 0.500 0.823
Sm1 Sm 0.168 0.500 0.342
Se1 Se 0.005 0.500 0.261
Se2 Se 0.168 0.000 0.580
Se3 Se 0.172 0.000 0.090
```